Record 1
Here is an optimized crystal structure of MgPaNiAu from the Alexandria database. Energies are from PBE-GGA.

Properties
- mass density (g/cm³) = 10.9
- space group = No. 216
- E_form (meV per atom) = -268

```
MgPaNiAu
1.0
0.000 3.393 3.393
3.393 0.000 3.393
3.393 3.393 0.000
Mg Pa Ni Au
1 1 1 1
Cartesian
0.000 0.000 0.000
3.393 3.393 3.393
1.697 1.697 1.697
5.090 5.090 5.090
```

***

Record 2
Here is an optimized crystal structure of TbMgRh from the Alexandria database. Energies are from PBE-GGA.

Properties
- mass density (g/cm³) = 7.5
- space group = No. 187
- E_form (meV per atom) = -424

```
TbMgRh
1.0
4.537 0.000 0.000
-2.269 3.929 0.000
0.000 0.000 3.559
Tb Mg Rh
1 1 1
Cartesian
0.000 0.000 0.000
0.000 2.620 1.779
2.269 1.310 1.779
```

***

Record 3
Here is an optimized crystal structure of TiSb from the Alexandria database. Energies are from PBE-GGA.

Properties
- mass density (g/cm³) = 6.4
- space group = No. 194
- formation energy (no corrections) (meV per atom) = -463

```
TiSb
1.0
4.036 0.000 0.000
-2.018 3.495 0.000
0.000 0.000 6.282
Ti Sb
2 2
Cartesian
0.000 0.000 0.000
0.000 0.000 3.141
0.000 2.330 1.571
2.018 1.165 4.712
```

***

Record 4
Here is an optimized crystal structure of TiGaAu4 from the Alexandria database. Energies are from PBE-GGA.

Properties
- mass density (g/cm³) = 12.1
- space group = No. 11
- E_form (meV per atom) = -150

```
TiGaAu4
1.0
4.761 0.000 0.000
0.000 9.242 0.000
-0.171 0.000 5.642
Ti Ga Au
2 2 8
Cartesian
0.541 2.311 5.641
4.048 6.932 0.001
1.588 6.932 1.551
3.001 2.311 4.091
0.050 4.659 1.382
0.050 9.204 1.382
0.747 2.311 2.844
1.545 6.932 4.435
3.045 2.311 1.207
3.843 6.932 2.797
4.540 0.038 4.260
4.540 4.583 4.260
```

***

Record 5
Here is an optimized crystal structure of PrNd3Ho2As6 from the Alexandria database. Energies are from PBE-GGA.

Properties
- mass density (g/cm³) = 7.0
- space group = No. 12
- E_form (meV per atom) = -1505

```
PrNd3Ho2As6
1.0
3.658 -6.334 0.000
3.658 6.334 0.000
-2.438 0.000 6.896
Pr Nd Ho As
1 3 2 6
Cartesian
0.000 0.000 0.000
2.439 4.242 3.448
2.439 0.000 3.448
2.439 -4.242 3.448
3.658 2.118 0.000
3.658 -2.118 0.000
1.244 2.154 1.683
0.050 0.000 5.222
1.244 -2.154 1.683
3.633 2.154 5.213
4.827 0.000 1.674
3.633 -2.154 5.213
```

***

Record 6
Here is an optimized crystal structure of Ho6AlCu5 from the Alexandria database. Energies are from PBE-GGA.

Properties
- mass density (g/cm³) = 8.8
- space group = No. 10
- E_form (meV per atom) = -278

```
Ho6AlCu5
1.0
4.891 0.000 0.000
0.000 7.006 0.000
-2.451 0.000 7.370
Ho Al Cu
6 1 5
Cartesian
0.000 1.680 0.000
0.000 5.327 0.000
-0.005 1.738 4.869
-0.005 5.268 4.869
2.446 1.738 2.500
2.446 5.268 2.500
2.446 3.503 0.000
0.004 3.503 2.282
0.005 0.000 2.476
2.446 0.000 0.000
2.436 0.000 4.894
2.437 3.503 5.088
```

***

Record 7
Here is an optimized crystal structure of Ca2In5PdRh2 from the Alexandria database. Energies are from PBE-GGA.

Properties
- mass density (g/cm³) = 7.4
- space group = No. 127
- E_form (meV per atom) = -441

```
Ca2In5PdRh2
1.0
10.592 0.000 0.000
0.000 10.592 0.000
0.000 0.000 3.892
Ca In Pd Rh
4 10 2 4
Cartesian
1.903 3.393 0.000
3.393 8.689 0.000
7.199 1.903 0.000
8.689 7.199 0.000
0.000 5.296 1.946
0.626 8.502 1.946
2.090 0.626 1.946
3.206 5.922 1.946
4.670 3.206 1.946
5.296 0.000 1.946
5.922 7.386 1.946
7.386 4.670 1.946
8.502 9.966 1.946
9.966 2.090 1.946
0.000 0.000 0.000
5.296 5.296 0.000
1.313 6.609 0.000
3.982 1.313 0.000
6.609 9.278 0.000
9.278 3.982 0.000
```

***

Record 8
Here is an optimized crystal structure of Ba2Cd6RhAu from the Alexandria database. Energies are from PBE-GGA.

Properties
- mass density (g/cm³) = 6.9
- space group = No. 71
- E_form (meV per atom) = -255

```
Ba2Cd6RhAu
1.0
-3.748 3.764 5.306
3.748 -3.764 5.306
3.748 3.764 -5.306
Ba Cd Rh Au
2 6 1 1
Cartesian
0.000 0.000 2.653
0.000 0.000 7.959
1.842 1.915 0.000
1.906 -1.849 5.306
3.748 0.000 2.699
0.000 3.764 2.607
1.842 5.613 0.000
1.906 1.849 5.306
0.000 3.764 0.000
3.748 0.000 0.000
```

***

Record 9
Here is an optimized crystal structure of Ca4InAu from the Alexandria database. Energies are from PBE-GGA.

Properties
- mass density (g/cm³) = 4.0
- polymorph energy (0 for the lowest one) (eV per atom) = 0.012
- space group = No. 15
- E_form (meV per atom) = -443

```
Ca4InAu
1.0
4.723 -7.112 0.000
4.723 7.112 0.000
-2.594 0.000 5.764
Ca In Au
8 2 2
Cartesian
1.194 4.619 5.350
1.018 0.993 3.908
4.361 4.619 3.296
2.315 -0.993 1.026
4.537 0.993 4.738
2.491 -4.619 2.468
5.834 -0.993 1.856
5.658 -4.619 0.414
4.075 1.863 1.441
2.778 -1.863 4.323
2.778 7.089 4.323
4.075 -7.089 1.441
```

***

Record 10
Here is an optimized crystal structure of Bi2Pb3S6 from the Alexandria database. Energies are from PBE-GGA.

Properties
- mass density (g/cm³) = 7.0
- polymorph energy (0 for the lowest one) (eV per atom) = 0.013
- space group = No. 63
- formation energy (no corrections) (meV per atom) = -443

```
Bi2Pb3S6
1.0
2.062 -6.813 0.000
2.062 6.813 0.000
0.000 0.000 20.852
Bi Pb S
4 6 12
Cartesian
2.062 5.636 13.211
2.062 5.636 18.067
2.062 -5.636 2.785
2.062 -5.636 7.641
2.062 4.373 5.213
2.062 1.919 11.403
2.062 1.919 19.875
2.062 -1.919 0.977
2.062 -1.919 9.449
2.062 -4.373 15.639
0.000 0.000 0.000
0.000 0.000 10.426
2.062 4.415 15.639
2.062 3.071 2.128
2.062 3.071 8.298
2.062 0.629 13.859
2.062 0.629 17.419
2.062 -0.629 3.433
2.062 -0.629 6.993
2.062 -3.071 12.554
2.062 -3.071 18.724
2.062 -4.415 5.213
```

***

Record 11
Here is an optimized crystal structure of Te2H6Se3 from the Alexandria database. Energies are from PBE-GGA.

Properties
- mass density (g/cm³) = 3.1
- space group = No. 2
- energy (Ry per atom) = -0.241

```
Te2H6Se3
1.0
5.408 0.000 0.000
-1.069 7.616 0.000
-0.774 -2.245 13.093
Te H Se
4 12 6
Cartesian
-0.184 0.075 5.799
-0.678 0.314 12.872
4.243 5.057 0.221
3.748 5.296 7.294
-0.493 3.031 3.681
-0.159 3.913 5.606
0.046 5.452 1.351
0.938 0.522 6.973
0.590 4.778 12.187
0.986 6.913 3.893
2.578 -1.541 9.200
2.975 0.593 0.906
2.626 4.850 6.120
3.519 -0.080 11.741
3.723 1.458 7.487
4.057 2.341 9.411
-0.518 5.026 11.227
0.676 3.162 4.587
1.660 -0.728 10.068
1.904 6.099 3.025
2.889 2.209 8.506
4.083 0.346 1.866
```

***

Record 12
Here is an optimized crystal structure of Al6Cu12Ag from the Alexandria database. Energies are from PBE-GGA.

Properties
- mass density (g/cm³) = 6.1
- polymorph energy (0 for the lowest one) (eV per atom) = 0.147
- space group = No. 166
- E_form (meV per atom) = 73

```
Al6Cu12Ag
1.0
5.486 3.167 2.691
-5.486 3.167 2.691
0.000 -6.335 2.691
Al Cu Ag
6 12 1
Cartesian
0.000 -2.531 3.481
-2.192 1.266 3.481
-2.192 -1.266 4.593
2.192 1.266 3.481
2.192 -1.266 4.593
0.000 2.531 4.593
-1.327 -0.766 2.191
-2.127 -3.684 4.037
-4.254 0.000 4.037
1.327 -0.766 2.191
0.000 1.532 2.191
2.127 -3.684 4.037
-2.127 3.684 4.037
0.000 -1.532 5.883
-1.327 0.766 5.883
4.254 0.000 4.037
2.127 3.684 4.037
1.327 0.766 5.883
0.000 0.000 0.000
```

***

Record 13
Here is an optimized crystal structure of TlAgPtCl6 from the Alexandria database. Energies are from PBE-GGA.

Properties
- mass density (g/cm³) = 4.7
- space group = No. 102
- formation energy (no corrections) (meV per atom) = -542

```
TlAgPtCl6
1.0
6.626 0.000 0.000
0.000 6.626 0.000
0.000 0.000 11.662
Tl Ag Pt Cl
2 2 2 12
Cartesian
0.000 0.000 0.000
3.313 3.313 5.831
0.000 0.000 3.555
3.313 3.313 9.386
0.000 0.000 7.568
3.313 3.313 1.737
1.114 1.114 5.812
1.221 1.221 9.180
1.630 1.630 1.813
1.683 4.943 7.644
2.092 4.533 3.349
2.199 4.426 11.643
4.426 2.199 11.643
4.533 2.092 3.349
4.943 1.683 7.644
4.995 4.995 1.813
5.405 5.405 9.180
5.512 5.512 5.812
```

***

Record 14
Here is an optimized crystal structure of La2TbAs4Pt3 from the Alexandria database. Energies are from PBE-GGA.

Properties
- mass density (g/cm³) = 10.1
- space group = No. 115
- E_form (meV per atom) = -1030

```
La2TbAs4Pt3
1.0
4.496 0.000 0.000
0.000 4.496 0.000
0.000 0.000 10.797
La Tb As Pt
2 1 4 3
Cartesian
0.000 2.248 2.395
2.248 0.000 8.402
0.000 0.000 5.398
0.000 0.000 0.000
0.000 2.248 7.070
2.248 0.000 3.727
2.248 2.248 0.000
0.000 2.248 9.593
2.248 0.000 1.204
2.248 2.248 5.398
```

***

Record 15
Here is an optimized crystal structure of AcLa5NdDy2 from the Alexandria database. Energies are from PBE-GGA.

Properties
- mass density (g/cm³) = 6.9
- space group = No. 140
- E_form (meV per atom) = 239

```
AcLa5NdDy2
1.0
-4.613 4.613 7.815
4.613 -4.613 7.815
4.613 4.613 -7.815
Ac La Nd Dy
2 10 2 4
Cartesian
0.000 0.000 3.908
0.000 0.000 11.723
0.000 0.000 0.000
6.401 1.788 -2.041
1.788 2.826 -2.041
6.401 1.788 2.041
1.788 2.826 2.041
0.000 0.000 7.815
2.826 1.788 5.774
-1.788 2.826 5.774
2.826 1.788 9.856
-1.788 2.826 9.856
4.613 0.000 3.908
0.000 4.613 3.908
3.552 1.061 0.000
3.552 -1.061 7.815
1.061 5.674 0.000
1.061 3.552 7.815
```

***

Record 16
Here is an optimized crystal structure of Cs4Tb3MnTe8 from the Alexandria database. Energies are from PBE-GGA.

Properties
- mass density (g/cm³) = 5.5
- space group = No. 12
- formation energy (no corrections) (meV per atom) = -1128

```
Cs4Tb3MnTe8
1.0
7.809 -4.506 0.000
7.809 4.506 0.000
-5.206 0.000 8.891
Cs Tb Mn Te
4 3 1 8
Cartesian
0.000 0.000 0.000
3.905 2.253 0.000
3.905 -2.253 0.000
7.809 0.000 0.000
-2.603 0.000 4.445
1.301 2.253 4.445
1.301 -2.253 4.445
5.206 0.000 4.445
-0.001 0.000 6.161
3.974 2.132 6.059
2.730 0.000 2.825
6.438 2.132 2.831
3.974 -2.132 6.059
7.682 0.000 6.066
6.438 -2.132 2.831
10.413 0.000 2.730
```

***

Record 17
Here is an optimized crystal structure of NaPdWAu2 from the Alexandria database. Energies are from PBE-GGA.

Properties
- mass density (g/cm³) = 9.2
- space group = No. 123
- E_form (meV per atom) = 760

```
NaPdWAu2
1.0
5.122 0.000 0.000
0.000 5.122 0.000
0.000 0.000 4.886
Na Pd W Au
1 1 1 2
Cartesian
0.000 0.000 0.000
2.561 2.561 0.000
2.561 2.561 2.443
0.000 2.561 2.443
2.561 0.000 2.443
```

***

Record 18
Here is an optimized crystal structure of Ba2LiPb2 from the Alexandria database. Energies are from PBE-GGA.

Properties
- mass density (g/cm³) = 5.2
- polymorph energy (0 for the lowest one) (eV per atom) = 0.409
- space group = No. 139
- E_form (meV per atom) = -83

```
Ba2LiPb2
1.0
-2.311 2.311 10.307
2.311 -2.311 10.307
2.311 2.311 -10.307
Ba Li Pb
2 1 2
Cartesian
0.000 0.000 2.281
0.000 0.000 18.333
0.000 0.000 10.307
2.311 0.000 5.153
0.000 2.311 5.153
```

***

Record 19
Here is an optimized crystal structure of Y3B7Ir from the Alexandria database. Energies are from PBE-GGA.

Properties
- mass density (g/cm³) = 6.8
- space group = No. 63
- E_form (meV per atom) = -605

```
Y3B7Ir
1.0
1.749 -7.897 0.000
1.749 7.897 0.000
0.000 0.000 9.392
Y B Ir
6 14 2
Cartesian
1.749 6.210 5.260
1.749 6.210 8.827
1.749 4.001 2.348
1.749 -4.001 7.044
1.749 -6.210 0.564
1.749 -6.210 4.131
1.749 3.586 5.008
1.749 3.586 9.080
1.749 2.099 6.121
1.749 2.099 7.967
1.749 0.692 2.348
1.749 0.322 5.598
1.749 0.322 8.490
1.749 -0.322 0.902
1.749 -0.322 3.794
1.749 -0.692 7.044
1.749 -2.099 1.425
1.749 -2.099 3.271
1.749 -3.586 0.312
1.749 -3.586 4.384
1.749 7.056 2.348
1.749 -7.056 7.044
```

***

Record 20
Here is an optimized crystal structure of MgOsRh2 from the Alexandria database. Energies are from PBE-GGA.

Properties
- mass density (g/cm³) = 11.8
- space group = No. 123
- E_form (meV per atom) = -164

```
MgOsRh2
1.0
2.789 0.000 0.000
0.000 2.789 0.000
0.000 0.000 7.601
Mg Os Rh
1 1 2
Cartesian
0.000 0.000 0.000
0.000 0.000 3.800
1.395 1.395 1.989
1.395 1.395 5.612
```